Compound: CaCrRe2Bi
Source: Alexandria via LeMat-Bulk
Functional: PBE-GGA
Structure: relaxed

Structure (POSCAR):
```
CaCrRe2Bi
1.0
-0.517 -3.689 -2.594
4.825 -1.520 1.199
-1.609 -2.289 3.574
Bi Re Ca Cr
1 2 1 1
Direct
0.500 0.500 0.500
0.500 0.000 0.000
0.000 0.000 0.500
0.000 0.500 0.000
0.000 0.000 0.000
```

Computed properties:
E (eV per atom): -6.949
Symmetry: P4/mmm, No. 123
ΔE_f (eV/f.u.): 5.66
Total moment (μB/f.u.): 0.0